1.
The following is a DFT calculation (PBE) of a relaxed structure of Pr12SnOs5.

abc: 8.7727 8.7727 8.7727
angles: 105.33 112.32 110.85
Element x y z (fractional)
1 Pr 0.5509 0.8219 0.7291
2 Pr 0.4491 0.1781 0.2709
3 Pr 0.9072 0.1781 0.7291
4 Pr 0.0928 0.8219 0.2709
5 Pr 0.6853 0.6710 0.3562
6 Pr 0.3147 0.3290 0.6438
7 Pr 0.3147 0.6710 0.9857
8 Pr 0.6853 0.3290 0.0143
9 Pr 0.8085 0.5773 0.7688
10 Pr 0.1915 0.4227 0.2312
11 Pr 0.1915 0.9603 0.7688
12 Pr 0.8085 0.0397 0.2312
13 Sn 0.0000 0.5000 0.5000
14 Os 0.6653 0.6653 0.0000
15 Os 0.3347 0.3347 0.0000
16 Os 0.5000 0.1147 0.6147
17 Os 0.5000 0.8853 0.3853
18 Os 0.0000 0.0000 0.0000

Results
The calculation puts the calculated formation energy at -0.1293 eV per atom. Its space-group type is No. 71. Its volume is 28.8 Å³ per atom.

2.
The following is a DFT calculation (PBE) of a relaxed structure of Pa2PdS5.

abc: 3.7157 7.4911 11.4594
angles: 90.00 90.00 90.01
Element x y z (fractional)
1 Pa 0.5000 0.4981 0.1814
2 Pa 0.5000 0.5019 0.8186
3 Pa 0.5000 0.0019 0.6814
4 Pa 0.5000 0.9981 0.3186
5 Pd 0.0000 0.5000 0.5000
6 Pd 0.0000 0.0000 0.0000
7 S 0.0000 0.0000 0.5000
8 S 0.0000 0.5000 0.0000
9 S 0.0000 0.7831 0.2061
10 S 0.0000 0.2169 0.7939
11 S 0.0000 0.7169 0.7061
12 S 0.0000 0.2831 0.2939
13 S 0.5000 0.6425 0.4053
14 S 0.5000 0.3575 0.5947
15 S 0.5000 0.8575 0.9053
16 S 0.5000 0.1425 0.0947

Results
Its space-group type is No. 55. For the raw formation energy, the calculation gives -1245 meV/atom. Its volume is 19.9 Å³ per atom.

3.
The following is a DFT calculation (PBE) of a relaxed structure of UCoRh.

abc: 3.3449 3.3449 4.9716
angles: 109.66 109.66 90.00
Site moments in Bohr magnetons follow the coordinates.
Element x y z (fractional)
1 Rh 0.9994 0.9994 0.9989  0.07
2 U 0.6784 0.6784 0.3569  -0.98
3 Co 0.3221 0.3221 0.6442  0.31

Results
The calculation puts the calculated formation energy at -0.1446 eV per atom. Its space-group type is No. 107. As for the energy above the most stable polymorph in this dataset: 0 kJ/mol of formula units. Its volume is 16.3 Å³ per atom.

4.
The following is a DFT calculation (PBE) of a relaxed structure of Y2Cd3In.

abc: 6.0801 6.0801 9.2605
angles: 102.83 102.83 108.89
Site moments in Bohr magnetons follow the coordinates.
Element x y z (fractional)
1 Y 0.2500 0.7500 0.5000  0.05
2 Y 0.7511 0.7511 0.0000  0.07
3 Y 0.7500 0.2500 0.5000  0.05
4 Y 0.2489 0.2489 0.0000  0.07
5 Cd 0.3318 0.8336 0.1654  0.00
6 Cd 0.1664 0.6682 0.8346  0.00
7 Cd 0.6682 0.1664 0.8346  0.00
8 Cd 0.8336 0.3318 0.1654  0.00
9 Cd 0.1657 0.1657 0.3315  0.00
10 Cd 0.8343 0.8343 0.6685  0.00
11 In 0.6665 0.6665 0.3330  0.00
12 In 0.3335 0.3335 0.6670  0.00

Results
The calculation puts the calculated formation energy at -0.3789 eV per atom. Its space-group type is No. 69. Its volume is 24.9 Å³ per atom.

5.
The following is a DFT calculation (PBE) of a relaxed structure of CsSmHo4S8.

abc: 8.2740 8.2740 8.4172
angles: 60.56 60.56 60.00
Element x y z (fractional)
1 Cs 0.3690 0.3690 0.8930
2 Sm 0.0057 0.0057 0.9828
3 Ho 0.6255 0.6255 0.1234
4 Ho 0.0037 0.4874 0.5052
5 Ho 0.4874 0.0037 0.5052
6 Ho 0.0037 0.0037 0.5052
7 S 0.2343 0.8122 0.7192
8 S 0.8122 0.2343 0.7192
9 S 0.2343 0.2343 0.7192
10 S 0.2259 0.2259 0.3222
11 S 0.7551 0.2315 0.2582
12 S 0.2315 0.7551 0.2582
13 S 0.7551 0.7551 0.2582
14 S 0.7565 0.7565 0.7306

Results
Its space-group type is No. 160. For the raw formation energy, the calculation gives -1856 meV/atom. Its volume is 29.3 Å³ per atom.

6.
The following is a DFT calculation (PBE) of a relaxed structure of TlHgHPb2.

abc: 4.8970 4.8970 5.1703
angles: 90.00 90.00 90.00
Element x y z (fractional)
1 Pb 0.0000 0.5000 0.0000
2 Pb 0.5000 0.0000 0.0000
3 H 0.0000 0.0000 0.0000
4 Tl 0.0000 0.0000 0.5000
5 Hg 0.5000 0.5000 0.5000

Results
Its space-group type is No. 123. As for the energy above the most stable polymorph in this dataset: 0 kJ/mol of formula units. Its volume is 24.8 Å³ per atom.

7.
The following is a DFT calculation (PBE) of a relaxed structure of BeCr3Co.

abc: 4.2079 4.2079 4.2079
angles: 90.00 90.00 90.00
Site moments in Bohr magnetons follow the coordinates.
Element x y z (fractional)
1 Cr 0.0000 0.5000 0.0000  1.49
2 Cr 0.0000 0.0000 0.5000  1.19
3 Cr 0.5000 0.0000 0.0000  1.50
4 Co 0.0000 0.0000 0.0000  -0.24
5 Be 0.5000 0.5000 0.5000  -0.10

Results
The calculation puts the calculated formation energy at 1.3813 eV per atom. Its space-group type is No. 221. As for the energy above the most stable polymorph in this dataset: 212 kJ/mol of formula units. Its volume is 14.9 Å³ per atom.

8.
The following is a DFT calculation (PBE) of a relaxed structure of PrHg4Bi.

abc: 6.1277 6.1277 6.1277
angles: 60.00 60.00 60.00
Element x y z (fractional)
1 Pr 0.2500 0.2500 0.2500
2 Bi 0.0000 0.0000 0.0000
3 Hg 0.6256 0.6256 0.1231
4 Hg 0.6256 0.1231 0.6256
5 Hg 0.6256 0.6256 0.6256
6 Hg 0.1231 0.6256 0.6256

Results
The calculation puts the calculated formation energy at -0.1429 eV per atom. Its space-group type is No. 216. Its volume is 27.1 Å³ per atom.

9.
The following is a DFT calculation (PBE) of a relaxed structure of ScCdSeN2.

abc: 4.1773 4.1773 5.5156
angles: 90.00 90.00 90.00
Site moments in Bohr magnetons follow the coordinates.
Element x y z (fractional)
1 Sc 0.0000 0.0000 0.0000  -0.02
2 N 0.0000 0.5000 0.0000  0.77
3 N 0.5000 0.0000 0.0000  0.77
4 Se 0.0000 0.0000 0.5000  0.14
5 Cd 0.5000 0.5000 0.5000  -0.01

Results
Its space-group type is No. 123. As for the energy above the most stable polymorph in this dataset: 0 kJ/mol of formula units. For the raw formation energy, the calculation gives 438 meV/atom. Its volume is 19.2 Å³ per atom.

10.
The following is a DFT calculation (PBE) of a relaxed structure of SrCu2Pb2.

abc: 8.4917 8.4917 3.3990
angles: 90.00 90.00 90.00
Element x y z (fractional)
1 Pb 0.3626 0.8626 0.0000
2 Pb 0.8626 0.6374 0.0000
3 Pb 0.6374 0.1374 0.0000
4 Pb 0.1374 0.3626 0.0000
5 Sr 0.0000 0.0000 0.0000
6 Sr 0.5000 0.5000 0.0000
7 Cu 0.1534 0.6534 0.5000
8 Cu 0.6534 0.8466 0.5000
9 Cu 0.8466 0.3466 0.5000
10 Cu 0.3466 0.1534 0.5000

Results
The calculation puts the calculated formation energy at 0.1244 eV per atom. Its space-group type is No. 127. Its volume is 24.5 Å³ per atom.

11.
The following is a DFT calculation (PBE) of a relaxed structure of EuInPd.

abc: 7.6625 7.6625 4.2531
angles: 90.00 90.00 120.00
Site moments in Bohr magnetons follow the coordinates.
Element x y z (fractional)
1 Eu 0.4115 0.0000 0.5000  6.79
2 Eu 0.0000 0.4115 0.5000  6.79
3 Eu 0.5885 0.5885 0.5000  6.79
4 In 0.7503 0.0000 0.0000  0.00
5 In 0.0000 0.7503 0.0000  0.00
6 In 0.2497 0.2497 0.0000  0.00
7 Pd 0.3333 0.6667 0.0000  -0.04
8 Pd 0.6667 0.3333 0.0000  -0.04
9 Pd 0.0000 0.0000 0.5000  0.00

Results
The calculation puts the calculated formation energy at -0.6974 eV per atom. Its space-group type is No. 189. Its volume is 24.0 Å³ per atom.

The highest volume belongs to which entry?
CsSmHo4S8